ZnAgSO4: relaxed, PBE-GGA.

Unit cell a=6.0137 b=6.0137 c=5.1498 alpha=125.72 beta=125.72 gamma=90.00
Closest atoms and distances in Å follow each position.
Element x y z (fractional)
O1 0.2695 0.7248 0.2054  1 S 1.51
O2 0.2752 0.0641 0.7946  1 S 1.51
O3 0.9359 0.4805 0.2054  1 S 1.51
O4 0.5195 0.7305 0.7946  1 S 1.51
Zn1 0.5000 0.5000 0.0000  4 O 2.22
S1 0.2500 0.7500 0.5000  4 O 1.51
Ag1 0.0000 0.0000 0.0000  4 O 2.55

Computed properties:
Symmetry: I-4, No. 82
Magnetization in μB per cell: 0.000
Uncorrected energy in eV for the cell shown: -33.99

=====

ZrAgS2O8: relaxed, PBE-GGA.

Unit cell a=5.2423 b=5.2423 c=8.8740 alpha=72.82 beta=72.82 gamma=60.00
Closest atoms and distances in Å follow each position.
Element x y z (fractional)
O1 0.4202 0.7919 0.8522  1 S 1.51
O2 0.9358 0.4202 0.8522  1 S 1.51
O3 0.0642 0.5798 0.1478  1 S 1.51
O4 0.2081 0.0642 0.1478  1 S 1.51
O5 0.2038 0.2038 0.3886  1 S 1.44
O6 0.5798 0.2081 0.1478  1 S 1.51
O7 0.7919 0.9358 0.8522  1 S 1.51
O8 0.7962 0.7962 0.6114  1 S 1.44
Ag1 0.5000 0.5000 0.5000  6 O 3.17
Zr1 0.0000 0.0000 0.0000  6 O 2.12
S1 0.2613 0.2613 0.2160  4 O 1.44-1.51
S2 0.7387 0.7387 0.7840  4 O 1.44-1.51

Computed properties:
Symmetry: R-3, No. 148
Magnetization in μB per cell: 0.395
Uncorrected energy in eV for the cell shown: -77.26

=====

Ag2SbO: relaxed, PBE-GGA.

Unit cell a=7.4136 b=7.4136 c=5.8315 alpha=50.53 beta=50.53 gamma=90.00
Closest atoms and distances in Å follow each position.
Element x y z (fractional)
Ag1 0.3750 0.4384 0.7500  2 O 2.40
Ag2 0.1884 0.6250 0.2500  2 O 2.40
Ag3 0.8750 0.8116 0.7500  2 O 2.40
Ag4 0.5616 0.1250 0.2500  2 O 2.40
O1 0.2500 0.7500 0.5000  4 Ag 2.40, 2 Sb 2.55
O2 0.5000 0.5000 0.0000  4 Ag 2.40, 2 Sb 2.55
Sb1 0.0000 0.0000 0.0000  2 O 2.55
Sb2 0.7500 0.2500 0.5000  2 O 2.55

Computed properties:
ΔE to the lowest computed polymorph in meV/atom: 0
Symmetry: I-42d, No. 122
Magnetization in μB per cell: 0.000
Uncorrected energy in eV for the cell shown: -29.53